# Fe2H2O

A geometry-optimized Fe2H2O structure (PBE with a Hubbard U, Alexandria via LeMat-Bulk).

Results
polymorph energy (0 for the lowest one): 0.080 eV/atom
D(E_F): 0.6 states/eV per cell
symmetry: No. 139
spin magnetization: 1.54 μB/atom

a b c (Å): 5.398 5.398 5.398
angles (deg): 148.66 148.66 44.91
Sites, in units of the cell vectors:
Fe: 0.128 0.128 0.000
Fe: 0.872 0.872 0.000
H: 0.250 0.750 0.500
H: 0.750 0.250 0.500
O: 0.500 0.500 0.000